Material: CaCdGe
Method: DFT, PBE
State: relaxed

```
CaCdGe
1.0
3.405 -0.001 0.000
0.001 8.356 0.041
0.000 0.716 5.080
Ca Ge Cd
2 2 2
direct
0.397 0.524 0.055
0.397 0.113 0.475
0.897 0.216 0.969
0.897 0.421 0.561
0.896 0.888 0.999
0.898 0.749 0.532
```

- Energy of formation: -0.332 eV per atom
- Volume: 24.07 Å³ per atom
- DOS at the Fermi energy: 2.1 states/eV/cell

***

Material: CaCd3Ge
Method: DFT, PBE
State: relaxed

```
CaCd3Ge
1.0
-4.563 -1.780 -2.987
-2.699 -1.293 4.894
-2.192 5.298 0.191
Ge Ca Cd
1 1 3
direct
0.500 0.500 0.500
0.000 0.000 0.000
0.000 0.500 0.000
0.000 0.000 0.500
0.500 0.000 0.000
```

- Energy of formation: 0.859 eV per atom
- Polymorph energy (0 for the lowest one): 0.728 eV per atom
- Volume: 37.76 Å³ per atom
- DOS at the Fermi energy: 7.6 states/eV/cell

***

Material: Ca4Cd2Ge
Method: DFT, PBE
State: relaxed

```
Ca4Cd2Ge
1.0
5.032 0.000 1.572
2.271 4.491 1.572
-0.170 -0.104 9.383
Ca Ge Cd
4 1 2
direct
0.878 0.878 0.367
0.122 0.122 0.633
0.628 0.628 0.115
0.372 0.372 0.885
0.000 0.000 0.000
0.752 0.752 0.744
0.248 0.248 0.256
```

- Energy of formation: -0.310 eV per atom
- Volume: 30.53 Å³ per atom
- DOS at the Fermi energy: 5.1 states/eV/cell

***

Material: CaCdGe
Method: DFT, PBE
State: relaxed

```
CaCdGe
1.0
-4.989 4.841 2.389
-1.196 -7.209 0.800
2.036 0.110 4.028
Ca Cd Ge
3 3 3
direct
0.580 0.000 0.500
0.420 0.420 0.500
0.000 0.580 0.500
0.000 0.254 0.000
0.254 0.000 0.000
0.746 0.746 0.000
0.333 0.667 0.000
0.667 0.333 0.000
0.000 0.000 0.500
```

- Energy of formation: -0.499 eV per atom
- Volume: 23.47 Å³ per atom
- DOS at the Fermi energy: 0.9 states/eV/cell

***

Material: Ca5Cd2Ge2
Method: DFT, PBE
State: relaxed

```
Ca5Cd2Ge2
1.0
-4.796 -5.380 3.083
5.884 -5.145 0.174
-0.339 -0.072 9.313
Ca Cd Ge
10 4 4
direct
0.000 0.000 0.000
0.500 0.500 0.000
0.447 0.177 0.750
0.803 0.823 0.750
0.303 0.677 0.750
0.947 0.323 0.750
0.553 0.823 0.250
0.197 0.177 0.250
0.697 0.323 0.250
0.053 0.677 0.250
0.216 0.000 0.569
0.716 0.500 0.569
0.784 0.000 0.431
0.284 0.500 0.431
0.118 0.382 0.000
0.882 0.618 0.000
0.382 0.882 0.000
0.618 0.118 0.000
```

- Energy of formation: -0.448 eV per atom
- Volume: 28.79 Å³ per atom
- DOS at the Fermi energy: 14.3 states/eV/cell

***

Material: Ca2Cd3Ge2
Method: DFT, PBE
State: relaxed

```
Ca2Cd3Ge2
1.0
4.425 0.000 0.000
-2.213 5.350 0.159
0.000 -1.023 7.013
Ca Cd Ge
2 3 2
direct
0.626 0.252 0.342
0.374 0.748 0.658
0.316 0.633 0.127
0.000 0.000 0.000
0.684 0.367 0.873
0.087 0.173 0.638
0.913 0.827 0.362
```

- Energy of formation: -0.366 eV per atom
- Volume: 23.82 Å³ per atom
- DOS at the Fermi energy: 1.8 states/eV/cell

***

Material: CaCdGe
Method: DFT, PBE
State: relaxed

```
CaCdGe
1.0
3.192 0.000 0.000
0.000 3.192 0.000
-1.596 -1.596 8.022
Ge Ca Cd
1 1 1
direct
0.945 0.945 0.891
0.127 0.127 0.254
0.778 0.778 0.556
```

- Energy of formation: 0.194 eV per atom
- Volume: 27.25 Å³ per atom
- DOS at the Fermi energy: 1.9 states/eV/cell

***

Material: Ca3Cd4Ge4
Method: DFT, PBE
State: relaxed

```
Ca3Cd4Ge4
1.0
4.678 0.000 0.000
0.000 7.288 0.000
-2.339 -3.644 7.576
Ca Cd Ge
3 4 4
direct
0.118 0.118 0.236
0.882 0.882 0.764
0.000 0.500 0.000
0.332 0.130 0.663
0.668 0.467 0.337
0.668 0.870 0.337
0.332 0.533 0.663
0.215 0.715 0.429
0.785 0.285 0.571
0.500 0.823 0.000
0.500 0.177 0.000
```

- Energy of formation: -0.368 eV per atom
- Volume: 23.48 Å³ per atom
- DOS at the Fermi energy: 2.2 states/eV/cell

***

Material: CaCd3Ge3
Method: DFT, PBE
State: relaxed

```
CaCd3Ge3
1.0
-2.095 5.330 -4.760
-0.911 -5.119 -5.331
-7.088 -0.917 2.092
Ge Ca Cd
6 2 6
direct
0.250 0.000 0.500
0.000 0.500 0.250
0.500 0.750 0.000
0.750 0.000 0.500
0.000 0.500 0.750
0.500 0.250 0.000
0.500 0.500 0.500
0.000 0.000 0.000
0.000 0.250 0.500
0.000 0.750 0.500
0.500 0.000 0.750
0.750 0.500 0.000
0.500 0.000 0.250
0.250 0.500 0.000
```

- Energy of formation: 0.266 eV per atom
- Volume: 29.50 Å³ per atom
- DOS at the Fermi energy: 10.1 states/eV/cell

***

Material: Ca4Cd3Ge
Method: DFT, PBE
State: relaxed

```
Ca4Cd3Ge
1.0
0.585 5.308 -0.077
-0.109 2.765 4.568
8.811 1.748 2.275
Ca Ge Cd
4 1 3
direct
0.880 0.880 0.359
0.371 0.371 0.888
0.120 0.120 0.641
0.629 0.629 0.112
0.000 0.000 0.000
0.244 0.244 0.269
0.756 0.756 0.731
0.500 0.500 0.500
```

- Energy of formation: -0.416 eV per atom
- Volume: 26.98 Å³ per atom
- DOS at the Fermi energy: 6.4 states/eV/cell

***

Material: Ca3Cd7Ge4
Method: DFT, PBE
State: relaxed

```
Ca3Cd7Ge4
1.0
4.393 0.000 1.108
1.631 8.134 2.798
0.046 -0.040 9.080
Ca Cd Ge
3 7 4
direct
0.298 0.190 0.215
0.702 0.810 0.785
0.000 0.500 0.500
0.338 0.809 0.514
0.489 0.200 0.823
0.839 0.384 0.938
0.662 0.191 0.486
0.161 0.616 0.062
0.000 0.000 0.000
0.511 0.800 0.177
0.652 0.461 0.236
0.348 0.539 0.764
0.865 0.926 0.345
0.135 0.074 0.655
```

- Energy of formation: -0.277 eV per atom
- Volume: 23.18 Å³ per atom
- DOS at the Fermi energy: 3.8 states/eV/cell

***

Material: CaCdGe
Method: DFT, PBE
State: relaxed

```
CaCdGe
1.0
-5.055 -1.432 2.790
3.554 -0.053 4.771
0.115 3.525 4.791
Ca Ge Cd
2 2 2
direct
0.105 0.722 0.529
0.534 0.651 0.029
0.683 0.004 0.233
0.548 0.369 0.733
0.113 0.029 0.828
0.929 0.345 0.328
```

- Energy of formation: -0.358 eV per atom
- Volume: 24.15 Å³ per atom
- DOS at the Fermi energy: 2.1 states/eV/cell

***

Material: CaCdGe
Method: DFT, PBE
State: relaxed

```
CaCdGe
1.0
4.565 0.000 0.000
0.000 11.074 1.011
-2.283 0.029 5.648
Ca Cd Ge
4 4 4
direct
0.090 0.345 0.180
0.397 0.157 0.794
0.603 0.843 0.206
0.910 0.655 0.820
0.213 0.612 0.426
0.880 0.955 0.760
0.787 0.388 0.574
0.120 0.045 0.240
0.415 0.430 0.831
0.695 0.163 0.390
0.585 0.570 0.169
0.305 0.837 0.610
```

- Energy of formation: -0.443 eV per atom
- Volume: 23.78 Å³ per atom
- DOS at the Fermi energy: 3.5 states/eV/cell

***

Material: CaCdGe
Method: DFT, PBE
State: relaxed

```
CaCdGe
1.0
4.038 0.000 0.000
0.000 4.601 0.000
0.000 -2.300 3.984
Ge Ca Cd
1 1 1
direct
0.213 0.333 0.667
0.655 0.667 0.333
0.132 0.000 0.000
```

- Energy of formation: -0.374 eV per atom
- Volume: 24.67 Å³ per atom
- DOS at the Fermi energy: 1.1 states/eV/cell

***

Material: CaCd2Ge
Method: DFT, PBE
State: relaxed

```
CaCd2Ge
1.0
4.321 0.000 0.000
0.000 4.321 0.000
0.000 0.000 10.484
Ca Cd Ge
2 4 2
direct
0.500 0.000 0.250
0.000 0.500 0.750
0.500 0.000 0.947
0.000 0.500 0.053
0.000 0.000 0.500
0.500 0.500 0.500
0.500 0.000 0.676
0.000 0.500 0.324
```

- Energy of formation: -0.310 eV per atom
- Volume: 24.47 Å³ per atom
- DOS at the Fermi energy: 1.6 states/eV/cell

***

Material: Ca3Cd5Ge2
Method: DFT, PBE
State: relaxed

```
Ca3Cd5Ge2
1.0
6.504 0.000 0.000
3.252 8.818 -1.137
3.252 1.244 8.803
Ca Cd Ge
6 10 4
direct
0.250 0.000 0.000
0.750 0.000 0.000
0.365 0.393 0.878
0.635 0.607 0.122
0.865 0.878 0.393
0.135 0.122 0.607
0.250 0.500 0.500
0.750 0.500 0.500
0.504 0.746 0.746
0.996 0.254 0.254
0.496 0.254 0.254
0.004 0.746 0.746
0.119 0.529 0.234
0.881 0.471 0.766
0.619 0.234 0.529
0.381 0.766 0.471
0.133 0.723 0.010
0.867 0.277 0.990
0.633 0.010 0.723
0.367 0.990 0.277
```

- Energy of formation: -0.295 eV per atom
- Volume: 25.71 Å³ per atom
- DOS at the Fermi energy: 7.2 states/eV/cell

***

Material: CaCdGe2
Method: DFT, PBE
State: relaxed

```
CaCdGe2
1.0
4.475 0.000 0.000
0.000 11.726 0.000
0.000 0.000 14.259
Ca Cd Ge
8 8 16
direct
0.750 0.462 0.699
0.250 0.962 0.801
0.250 0.538 0.301
0.750 0.038 0.199
0.750 0.244 0.949
0.250 0.744 0.551
0.250 0.756 0.051
0.750 0.256 0.449
0.750 0.554 0.941
0.250 0.054 0.559
0.250 0.446 0.059
0.750 0.946 0.441
0.750 0.332 0.209
0.250 0.832 0.291
0.250 0.668 0.791
0.750 0.168 0.709
0.750 0.986 0.952
0.250 0.486 0.548
0.250 0.014 0.048
0.750 0.514 0.452
0.750 0.783 0.894
0.250 0.283 0.606
0.250 0.217 0.106
0.750 0.717 0.394
0.750 0.755 0.707
0.250 0.255 0.793
0.250 0.245 0.293
0.750 0.745 0.207
0.750 0.950 0.638
0.250 0.450 0.862
0.250 0.050 0.362
0.750 0.550 0.138
```

- Energy of formation: -0.304 eV per atom
- Volume: 23.38 Å³ per atom
- DOS at the Fermi energy: 7.5 states/eV/cell

***

Material: CaCdGe
Method: DFT, PBE
State: relaxed

```
CaCdGe
1.0
4.492 0.003 0.008
2.234 5.390 -0.030
-2.262 0.822 5.903
Ca Ge Cd
2 2 2
direct
0.911 0.750 0.309
0.432 0.357 0.958
0.193 0.182 0.306
0.150 0.924 0.960
0.762 0.299 0.559
0.582 0.807 0.708
```

- Energy of formation: -0.421 eV per atom
- Volume: 23.85 Å³ per atom
- DOS at the Fermi energy: 1.6 states/eV/cell

***

Material: CaCdGe2
Method: DFT, PBE
State: relaxed

```
CaCdGe2
1.0
-3.385 -1.061 -2.887
0.566 -6.702 1.801
-7.773 1.632 8.515
Ca Cd Ge
4 4 8
direct
0.750 0.333 0.340
0.250 0.667 0.660
0.750 0.833 0.160
0.250 0.167 0.840
0.750 0.321 0.046
0.250 0.679 0.954
0.750 0.821 0.454
0.250 0.179 0.546
0.250 0.014 0.331
0.750 0.986 0.669
0.250 0.514 0.169
0.750 0.486 0.831
0.250 0.142 0.126
0.750 0.858 0.874
0.250 0.642 0.374
0.750 0.358 0.626
```

- Energy of formation: -0.306 eV per atom
- Volume: 23.17 Å³ per atom
- DOS at the Fermi energy: 4.1 states/eV/cell

***

Material: CaCdGe
Method: DFT, PBE
State: relaxed

```
CaCdGe
1.0
4.686 0.005 0.004
-2.336 5.555 -0.050
-2.336 0.387 5.541
Ca Ge Cd
2 2 2
direct
0.243 0.527 0.821
0.319 0.104 0.399
0.623 0.105 0.008
0.623 0.713 0.400
0.947 0.534 0.224
0.947 0.929 0.829
```

- Energy of formation: -0.350 eV per atom
- Volume: 24.07 Å³ per atom
- DOS at the Fermi energy: 2.3 states/eV/cell

***

For reference, total DFT energy (no corrections) by record: -2.8437, -1.0141, -2.3744, -3.0104, -2.7899, -2.6492, -2.3174, -2.9261, -2.3910, -2.3370, -2.4826, -2.8689, -2.9544, -2.8858, -2.4221, -2.2765, -3.3416, -2.9328, -3.3437, -2.8614 eV/atom.